ErSbMo2O9 | PBE with a Hubbard U | relaxed

## Properties
Crystal system: monoclinic
Uncorrected energy: -7.171 eV/atom

a b c (Å): 13.0261 14.2816 10.8133
angles (deg): 90.00 123.67 90.00
Space group C2/c (No. 15)
Asymmetric unit:
Er1 0.0000 0.1259 0.2500 (multiplicity 4)
Er2 0.0000 0.3291 0.7500 (multiplicity 4)
Sb1 0.1356 0.4840 0.5355 (multiplicity 8)
Mo1 0.1525 0.1067 0.0242 (multiplicity 8)
Mo2 0.2458 0.1888 0.6924 (multiplicity 8)
O1 0.0177 0.4402 0.6005 (multiplicity 8)
O2 0.0833 0.0133 0.8967 (multiplicity 8)
O3 0.0831 0.2143 0.9290 (multiplicity 8)
O4 0.1160 0.2612 0.2718 (multiplicity 8)
O5 0.1289 0.0890 0.1714 (multiplicity 8)
O6 0.1422 0.1644 0.4999 (multiplicity 8)
O7 0.1747 0.2699 0.7483 (multiplicity 8)
O8 0.1855 0.4074 0.9201 (multiplicity 8)
O9 0.2146 0.4226 0.2040 (multiplicity 8)